# PBE-GGA YFeOs2, optimized geometry
# - ΔE to the lowest computed polymorph: 0.204 eV per atom
# - DFT total energy: -8.91 eV per atom
# - Crystal system: cubic
data_YFeOs2
_space_group_name_H-M_alt 'F m -3 m'
_space_group_IT_number 225
_space_group_name_Hall '-F 4 2 3'
_cell_length_a 6.413
_cell_length_b 6.413
_cell_length_c 6.413
_cell_angle_alpha 90.00
_cell_angle_beta 90.00
_cell_angle_gamma 90.00
loop_
_atom_site_label
_atom_site_type_symbol
_atom_site_fract_x
_atom_site_fract_y
_atom_site_fract_z
Y1 Y 0.000 0.000 0.000
Fe1 Fe 0.000 0.000 0.500
Os1 Os 0.250 0.250 0.250

=====

# PBE-GGA TcAsIO2, optimized geometry
# - ΔE to the lowest computed polymorph: 0.000 eV per atom
# - Energy relative to the elements, uncorrected: -0.243 eV/atom
# - DFT total energy: -5.54 eV per atom
# - Crystal system: tetragonal
data_TcAsIO2
_space_group_name_H-M_alt 'P 4/m m m'
_space_group_IT_number 123
_space_group_name_Hall '-P 4 2'
_cell_length_a 3.866
_cell_length_b 3.866
_cell_length_c 6.145
_cell_angle_alpha 90.00
_cell_angle_beta 90.00
_cell_angle_gamma 90.00
loop_
_atom_site_label
_atom_site_type_symbol
_atom_site_fract_x
_atom_site_fract_y
_atom_site_fract_z
Tc1 Tc 0.000 0.000 0.000
As1 As 0.500 0.500 0.500
I1 I 0.000 0.000 0.500
O1 O 0.000 0.500 0.000

=====

# PBE-GGA Zn4Cu4Rh, optimized geometry
# - DFT total energy: -3.18 eV per atom
# - Crystal system: tetragonal
data_Zn4Cu4Rh
_space_group_name_H-M_alt 'P 42/n m c'
_space_group_IT_number 137
_cell_length_a 5.429
_cell_length_b 5.429
_cell_length_c 8.596
_cell_angle_alpha 90.00
_cell_angle_beta 90.00
_cell_angle_gamma 90.00
loop_
_space_group_symop_operation_xyz
'x,y,z'
'-x,-y,-z'
'-y+1/2,x,z+1/2'
'y+1/2,-x,-z+1/2'
'-x+1/2,-y+1/2,z'
'x+1/2,y+1/2,-z'
'y,-x+1/2,z+1/2'
'-y,x+1/2,-z+1/2'
'x+1/2,-y,-z'
'-x+1/2,y,z'
'-y,-x,-z+1/2'
'y,x,z+1/2'
'-x,y+1/2,-z'
'x,-y+1/2,z'
'y+1/2,x+1/2,-z+1/2'
'-y+1/2,-x+1/2,z+1/2'
loop_
_atom_site_label
_atom_site_type_symbol
_atom_site_fract_x
_atom_site_fract_y
_atom_site_fract_z
Zn1 Zn 0.001 0.750 0.014
Cu1 Cu 0.034 0.250 0.691
Rh1 Rh 0.250 0.750 0.750

=====

# PBE-GGA Ca2Al2H, optimized geometry
# - ΔE to the lowest computed polymorph: 0.000 eV per atom
# - DFT total energy: -2.92 eV per atom
# - Crystal system: tetragonal
data_Ca2Al2H
_space_group_name_H-M_alt 'P 4/m b m'
_space_group_IT_number 127
_space_group_name_Hall '-P 4 2ab'
_cell_length_a 6.716
_cell_length_b 6.716
_cell_length_c 5.233
_cell_angle_alpha 90.00
_cell_angle_beta 90.00
_cell_angle_gamma 90.00
loop_
_atom_site_label
_atom_site_type_symbol
_atom_site_fract_x
_atom_site_fract_y
_atom_site_fract_z
Ca1 Ca 0.178 0.322 0.000
Al1 Al 0.137 0.637 0.500
H1 H 0.000 0.000 0.000

=====

# PBE-GGA ZrScBe2, optimized geometry
# - ΔE to the lowest computed polymorph: 0.590 eV per atom
# - DFT total energy: -5.06 eV per atom
# - Crystal system: tetragonal
data_ZrScBe2
_space_group_name_H-M_alt 'I -4 2 d'
_space_group_IT_number 122
_space_group_name_Hall 'I -4 2bw'
_cell_length_a 6.868
_cell_length_b 6.868
_cell_length_c 5.981
_cell_angle_alpha 90.00
_cell_angle_beta 90.00
_cell_angle_gamma 90.00
loop_
_atom_site_label
_atom_site_type_symbol
_atom_site_fract_x
_atom_site_fract_y
_atom_site_fract_z
Zr1 Zr 0.000 0.000 0.000
Sc1 Sc 0.000 0.000 0.500
Be1 Be 0.249 0.250 0.625

=====

# PBE-GGA Er4CdInHg2, optimized geometry
# - DFT total energy: -3.23 eV per atom
# - Crystal system: trigonal
data_Er4CdInHg2
_space_group_name_H-M_alt 'R -3 m'
_space_group_IT_number 166
_space_group_name_Hall '-R 3 2"'
_cell_length_a 5.2378
_cell_length_b 5.2378
_cell_length_c 25.7855
_cell_angle_alpha 90.00
_cell_angle_beta 90.00
_cell_angle_gamma 120.00
loop_
_atom_site_label
_atom_site_type_symbol
_atom_site_fract_x
_atom_site_fract_y
_atom_site_fract_z
Er1 Er 0.0000 0.0000 0.1249
Er2 Er 0.0000 0.0000 0.3753
Cd1 Cd 0.0000 0.0000 0.5000
In1 In 0.0000 0.0000 0.0000
Hg1 Hg 0.0000 0.0000 0.2466

=====

DOS(E_F) / states/eV per cell: 11.955 1.750 3.339 8.157 19.150 24.448